Computed, not measured: Li2NiW2O8 after structural relaxation at the PBE+U level of DFT.

The space group is P-1 (No. 2) and the conventional cell measures 5.025, 5.679 and 5.900 Å, with angles of 108.19, 91.14 and 116.16 degrees. The distinct sites, in fractional coordinates, are Li at (0.044, 0.082, 0.248), Ni at (0.500, 0.000, 0.500), W at (0.256, 0.524, 0.836), O at (0.037, 0.722, 0.958), O at (0.037, 0.762, 0.424), O at (0.452, 0.279, 0.830) and O at (0.495, 0.247, 0.309).

The value obtained for the raw total energy is -85.8 eV/f.u. The calculation puts the density of states at the Fermi level at 0.00 states/eV/cell.